1.
# Cd2Co2Os (PBE-GGA, optimized geometry)
data_Cd2Co2Os
_symmetry_space_group_name_H-M 'P 4/m b m'
_symmetry_Int_Tables_number 127
_symmetry_space_group_name_Hall '-P 4 2ab'
_cell_length_a 6.071
_cell_length_b 6.071
_cell_length_c 4.299
_cell_angle_alpha 90.00
_cell_angle_beta 90.00
_cell_angle_gamma 90.00
loop_
_atom_site_label
_atom_site_fract_x
_atom_site_fract_y
_atom_site_fract_z
_atom_site_occupancy
Cd1 0.179 0.321 0.000 1
Co1 0.129 0.629 0.500 1
Os1 0.000 0.000 0.500 1
# DOS(E_F) (states/eV/cell): 13.54



2.
# Cd2Co2Os (PBE-GGA, optimized geometry)
data_Cd2Co2Os
_symmetry_space_group_name_H-M 'I 4/m m m'
_symmetry_Int_Tables_number 139
_symmetry_space_group_name_Hall '-I 4 2'
_cell_length_a 3.672
_cell_length_b 3.672
_cell_length_c 12.604
_cell_angle_alpha 90.00
_cell_angle_beta 90.00
_cell_angle_gamma 90.00
loop_
_atom_site_label
_atom_site_fract_x
_atom_site_fract_y
_atom_site_fract_z
_atom_site_occupancy
Cd1 0.000 0.500 0.250 1
Co1 0.000 0.000 0.085 1
Os1 0.000 0.000 0.500 1
# DOS(E_F) (states/eV/cell): 14.00



Which of them is the most stable, and which is the least stable? 1 and 2, in that order.